This record from Alexandria via LeMat-Bulk describes a relaxed FeH2O crystal. The functional is PBE with a Hubbard U.

```
data_FeH2O
_space_group_name_H-M_alt 'F m -3 m'
_space_group_IT_number 225
_space_group_name_Hall '-F 4 2 3'
_cell_length_a 4.739
_cell_length_b 4.739
_cell_length_c 4.739
_cell_angle_alpha 90.00
_cell_angle_beta 90.00
_cell_angle_gamma 90.00
loop_
_atom_site_label
_atom_site_type_symbol
_atom_site_fract_x
_atom_site_fract_y
_atom_site_fract_z
_atom_site_occupancy
Fe1 Fe 0.000 0.000 0.000 1
H1 H 0.250 0.250 0.250 1
O1 O 0.000 0.000 0.500 1
```

Summary:
electronic total energy = -3.716 eV per atom
relative energy among the computed polymorphs = 733 meV per atom